Record 1
First-principles (GGA-PBE) data for LaTcPt2 after structural relaxation, as listed in the Alexandria database.

Results
* polymorph energy (0 for the lowest one): 44.4 meV/atom
* formation energy from the elements: -1.07 eV/f.u.

```
data_LaTcPt2
_chemical_formula_sum 'La1 Tc1 Pt2'
_symmetry_space_group_name_H-M 'P 1'
_symmetry_Int_Tables_number 1
_symmetry_space_group_name_Hall 'P 1'
_cell_length_a 4.2378
_cell_length_b 4.2378
_cell_length_c 4.1911
_cell_angle_alpha 90.00
_cell_angle_beta 90.00
_cell_angle_gamma 90.00
loop_
_atom_site_label
_atom_site_type_symbol
_atom_site_fract_x
_atom_site_fract_y
_atom_site_fract_z
La1 La 0.0000 0.0000 0.0000
Tc1 Tc 0.5000 0.5000 0.0000
Pt1 Pt 0.0000 0.5000 0.5000
Pt2 Pt 0.5000 0.0000 0.5000
```

---

Record 2
First-principles (GGA-PBE) data for Na2Pd2PtO6 after structural relaxation, as listed in the Alexandria database.

Results
* formation energy from raw total energies: -0.7599 eV per atom

```
data_Na2Pd2PtO6
_chemical_formula_sum 'Na2 Pd2 Pt1 O6'
_symmetry_space_group_name_H-M 'P 1'
_symmetry_Int_Tables_number 1
_symmetry_space_group_name_Hall 'P 1'
_cell_length_a 5.4491
_cell_length_b 5.4491
_cell_length_c 5.7864
_cell_angle_alpha 101.01
_cell_angle_beta 101.01
_cell_angle_gamma 116.17
loop_
_atom_site_label
_atom_site_type_symbol
_atom_site_fract_x
_atom_site_fract_y
_atom_site_fract_z
Na1 Na 0.1753 0.8247 0.0000
Na2 Na 0.8247 0.1753 0.0000
Pd1 Pd 0.3353 0.6647 0.5000
Pd2 Pd 0.6647 0.3353 0.5000
Pt1 Pt 0.0000 0.0000 0.5000
O1 O 0.0416 0.3793 0.7001
O2 O 0.2492 0.2492 0.3163
O3 O 0.3793 0.0416 0.7001
O4 O 0.6207 0.9584 0.2999
O5 O 0.7508 0.7508 0.6837
O6 O 0.9584 0.6207 0.2999
```

---

Record 3
First-principles (GGA-PBE) data for K12Rb3Mg after structural relaxation, as listed in the Alexandria database.

Results
* formation energy from the elements: 0.68 eV/f.u.

```
data_K12Rb3Mg
_chemical_formula_sum 'K12 Rb3 Mg1'
_symmetry_space_group_name_H-M 'P 1'
_symmetry_Int_Tables_number 1
_symmetry_space_group_name_Hall 'P 1'
_cell_length_a 6.7177
_cell_length_b 6.7177
_cell_length_c 25.0521
_cell_angle_alpha 90.00
_cell_angle_beta 90.00
_cell_angle_gamma 90.00
loop_
_atom_site_label
_atom_site_type_symbol
_atom_site_fract_x
_atom_site_fract_y
_atom_site_fract_z
K1 K 0.0000 0.0000 0.0000
K2 K 0.0000 0.0000 0.2330
K3 K 0.0000 0.0000 0.5000
K4 K 0.0000 0.0000 0.7670
K5 K 0.0000 0.5000 0.0990
K6 K 0.0000 0.5000 0.3657
K7 K 0.0000 0.5000 0.6343
K8 K 0.0000 0.5000 0.9010
K9 K 0.5000 0.0000 0.0990
K10 K 0.5000 0.0000 0.3657
K11 K 0.5000 0.0000 0.6343
K12 K 0.5000 0.0000 0.9010
Rb1 Rb 0.5000 0.5000 0.2311
Rb2 Rb 0.5000 0.5000 0.5000
Rb3 Rb 0.5000 0.5000 0.7689
Mg1 Mg 0.5000 0.5000 0.0000
```

---

Record 4
First-principles (GGA-PBE) data for CsHfAl2 after structural relaxation, as listed in the Alexandria database.

Results
* formation energy from the elements: 3.51 eV/f.u.

```
data_CsHfAl2
_chemical_formula_sum 'Cs4 Hf4 Al8'
_symmetry_space_group_name_H-M 'P 1'
_symmetry_Int_Tables_number 1
_symmetry_space_group_name_Hall 'P 1'
_cell_length_a 7.4558
_cell_length_b 7.4558
_cell_length_c 7.4558
_cell_angle_alpha 90.00
_cell_angle_beta 90.00
_cell_angle_gamma 90.00
loop_
_atom_site_label
_atom_site_type_symbol
_atom_site_fract_x
_atom_site_fract_y
_atom_site_fract_z
Cs1 Cs 0.0000 0.0000 0.0000
Cs2 Cs 0.0000 0.5000 0.5000
Cs3 Cs 0.5000 0.0000 0.5000
Cs4 Cs 0.5000 0.5000 0.0000
Hf1 Hf 0.0000 0.0000 0.5000
Hf2 Hf 0.0000 0.5000 0.0000
Hf3 Hf 0.5000 0.0000 0.0000
Hf4 Hf 0.5000 0.5000 0.5000
Al1 Al 0.2500 0.2500 0.2500
Al2 Al 0.2500 0.2500 0.7500
Al3 Al 0.2500 0.7500 0.2500
Al4 Al 0.2500 0.7500 0.7500
Al5 Al 0.7500 0.2500 0.2500
Al6 Al 0.7500 0.2500 0.7500
Al7 Al 0.7500 0.7500 0.2500
Al8 Al 0.7500 0.7500 0.7500
```

---

Record 5
First-principles (GGA-PBE) data for Li3Br2F after structural relaxation, as listed in the Alexandria database.

Results
* formation energy from raw total energies: -1.9060 eV per atom

```
data_Li3Br2F
_chemical_formula_sum 'Li6 Br4 F2'
_symmetry_space_group_name_H-M 'P 1'
_symmetry_Int_Tables_number 1
_symmetry_space_group_name_Hall 'P 1'
_cell_length_a 6.2267
_cell_length_b 6.2267
_cell_length_c 5.8956
_cell_angle_alpha 90.00
_cell_angle_beta 90.00
_cell_angle_gamma 65.02
loop_
_atom_site_label
_atom_site_type_symbol
_atom_site_fract_x
_atom_site_fract_y
_atom_site_fract_z
Li1 Li 0.1211 0.8789 0.7500
Li2 Li 0.3658 0.3658 0.0000
Li3 Li 0.3658 0.3658 0.5000
Li4 Li 0.6342 0.6342 0.0000
Li5 Li 0.6342 0.6342 0.5000
Li6 Li 0.8789 0.1211 0.2500
Br1 Br 0.0043 0.3296 0.7500
Br2 Br 0.3296 0.0043 0.2500
Br3 Br 0.6704 0.9957 0.7500
Br4 Br 0.9957 0.6704 0.2500
F1 F 0.4052 0.5948 0.7500
F2 F 0.5948 0.4052 0.2500
```

---

Record 6
First-principles (GGA-PBE) data for Zr4TlTc after structural relaxation, as listed in the Alexandria database.

Results
* polymorph energy (0 for the lowest one): 635.1 meV/atom
* formation energy from the elements: 2.82 eV/f.u.

```
data_Zr4TlTc
_chemical_formula_sum 'Zr4 Tl1 Tc1'
_symmetry_space_group_name_H-M 'P 1'
_symmetry_Int_Tables_number 1
_symmetry_space_group_name_Hall 'P 1'
_cell_length_a 5.6674
_cell_length_b 5.6674
_cell_length_c 5.6674
_cell_angle_alpha 60.00
_cell_angle_beta 60.00
_cell_angle_gamma 60.00
loop_
_atom_site_label
_atom_site_type_symbol
_atom_site_fract_x
_atom_site_fract_y
_atom_site_fract_z
Zr1 Zr 0.1230 0.1230 0.1230
Zr2 Zr 0.1230 0.1230 0.6310
Zr3 Zr 0.1230 0.6310 0.1230
Zr4 Zr 0.6310 0.1230 0.1230
Tl1 Tl 0.5000 0.5000 0.5000
Tc1 Tc 0.7500 0.7500 0.7500
```

---

Record 7
First-principles (GGA-PBE) data for Sm2BeCdPd6 after structural relaxation, as listed in the Alexandria database.

Results
* formation energy from the elements: -5.70 eV/f.u.

```
data_Sm2BeCdPd6
_chemical_formula_sum 'Sm2 Be1 Cd1 Pd6'
_symmetry_space_group_name_H-M 'P 1'
_symmetry_Int_Tables_number 1
_symmetry_space_group_name_Hall 'P 1'
_cell_length_a 7.8330
_cell_length_b 7.8330
_cell_length_c 7.8330
_cell_angle_alpha 44.11
_cell_angle_beta 44.11
_cell_angle_gamma 44.11
loop_
_atom_site_label
_atom_site_type_symbol
_atom_site_fract_x
_atom_site_fract_y
_atom_site_fract_z
Sm1 Sm 0.2281 0.2281 0.2281
Sm2 Sm 0.7719 0.7719 0.7719
Be1 Be 0.5000 0.5000 0.5000
Cd1 Cd 0.0000 0.0000 0.0000
Pd1 Pd 0.2137 0.7344 0.7344
Pd2 Pd 0.2656 0.2656 0.7863
Pd3 Pd 0.2656 0.7863 0.2656
Pd4 Pd 0.7344 0.2137 0.7344
Pd5 Pd 0.7344 0.7344 0.2137
Pd6 Pd 0.7863 0.2656 0.2656
```

---

Record 8
First-principles (GGA-PBE) data for HfCrCl2 after structural relaxation, as listed in the Alexandria database.

Results
* polymorph energy (0 for the lowest one): 0.0 meV/atom
* formation energy from raw total energies: -0.1595 eV per atom

```
data_HfCrCl2
_chemical_formula_sum 'Hf4 Cr4 Cl8'
_symmetry_space_group_name_H-M 'P 1'
_symmetry_Int_Tables_number 1
_symmetry_space_group_name_Hall 'P 1'
_cell_length_a 4.2977
_cell_length_b 4.2977
_cell_length_c 16.6664
_cell_angle_alpha 90.00
_cell_angle_beta 90.00
_cell_angle_gamma 90.00
loop_
_atom_site_label
_atom_site_type_symbol
_atom_site_fract_x
_atom_site_fract_y
_atom_site_fract_z
Hf1 Hf 0.0000 0.0000 0.0000
Hf2 Hf 0.0000 0.5000 0.2500
Hf3 Hf 0.5000 0.0000 0.7500
Hf4 Hf 0.5000 0.5000 0.5000
Cr1 Cr 0.0000 0.0000 0.5000
Cr2 Cr 0.0000 0.5000 0.7500
Cr3 Cr 0.5000 0.0000 0.2500
Cr4 Cr 0.5000 0.5000 0.0000
Cl1 Cl 0.2484 0.2500 0.6250
Cl2 Cl 0.2500 0.7484 0.8750
Cl3 Cl 0.2500 0.7516 0.3750
Cl4 Cl 0.2516 0.2500 0.1250
Cl5 Cl 0.7484 0.7500 0.1250
Cl6 Cl 0.7500 0.2484 0.3750
Cl7 Cl 0.7500 0.2516 0.8750
Cl8 Cl 0.7516 0.7500 0.6250
```

---

Record 9
First-principles (GGA-PBE) data for Co2Hg2Pt after structural relaxation, as listed in the Alexandria database.

Results
* formation energy from the elements: 1.74 eV/f.u.

```
data_Co2Hg2Pt
_chemical_formula_sum 'Co4 Hg4 Pt2'
_symmetry_space_group_name_H-M 'P 1'
_symmetry_Int_Tables_number 1
_symmetry_space_group_name_Hall 'P 1'
_cell_length_a 6.3767
_cell_length_b 6.3767
_cell_length_c 4.0955
_cell_angle_alpha 90.00
_cell_angle_beta 90.00
_cell_angle_gamma 90.00
loop_
_atom_site_label
_atom_site_type_symbol
_atom_site_fract_x
_atom_site_fract_y
_atom_site_fract_z
Co1 Co 0.1225 0.3775 0.0000
Co2 Co 0.3775 0.8775 0.0000
Co3 Co 0.6225 0.1225 0.0000
Co4 Co 0.8775 0.6225 0.0000
Hg1 Hg 0.1775 0.6775 0.5000
Hg2 Hg 0.3225 0.1775 0.5000
Hg3 Hg 0.6775 0.8225 0.5000
Hg4 Hg 0.8225 0.3225 0.5000
Pt1 Pt 0.0000 0.0000 0.0000
Pt2 Pt 0.5000 0.5000 0.0000
```

---

Record 10
First-principles (GGA-PBE) data for Zn2TcMo after structural relaxation, as listed in the Alexandria database.

Results
* polymorph energy (0 for the lowest one): 72.3 meV/atom
* formation energy from the elements: 0.42 eV/f.u.

```
data_Zn2TcMo
_chemical_formula_sum 'Zn4 Tc2 Mo2'
_symmetry_space_group_name_H-M 'P 1'
_symmetry_Int_Tables_number 1
_symmetry_space_group_name_Hall 'P 1'
_cell_length_a 3.0858
_cell_length_b 4.4162
_cell_length_c 8.8425
_cell_angle_alpha 90.00
_cell_angle_beta 90.00
_cell_angle_gamma 90.00
loop_
_atom_site_label
_atom_site_type_symbol
_atom_site_fract_x
_atom_site_fract_y
_atom_site_fract_z
Zn1 Zn 0.0000 0.0000 0.0000
Zn2 Zn 0.0000 0.5000 0.2500
Zn3 Zn 0.5000 0.0000 0.2500
Zn4 Zn 0.5000 0.5000 0.0000
Tc1 Tc 0.0000 0.0000 0.5000
Tc2 Tc 0.5000 0.5000 0.5000
Mo1 Mo 0.0000 0.5000 0.7444
Mo2 Mo 0.5000 0.0000 0.7444
```

---

Record 11
First-principles (GGA-PBE) data for Na2AgH4Pd after structural relaxation, as listed in the Alexandria database.

Results
* energy: -2.99 eV per atom

```
data_Na2AgH4Pd
_chemical_formula_sum 'Na4 Ag2 H8 Pd2'
_symmetry_space_group_name_H-M 'P 1'
_symmetry_Int_Tables_number 1
_symmetry_space_group_name_Hall 'P 1'
_cell_length_a 5.9923
_cell_length_b 5.9923
_cell_length_c 5.5516
_cell_angle_alpha 90.00
_cell_angle_beta 90.00
_cell_angle_gamma 90.00
loop_
_atom_site_label
_atom_site_type_symbol
_atom_site_fract_x
_atom_site_fract_y
_atom_site_fract_z
Na1 Na 0.0000 0.5000 0.0000
Na2 Na 0.0000 0.5000 0.5000
Na3 Na 0.5000 0.0000 0.0000
Na4 Na 0.5000 0.0000 0.5000
Ag1 Ag 0.0000 0.0000 0.0000
Ag2 Ag 0.5000 0.5000 0.5000
H1 H 0.1493 0.1493 0.2758
H2 H 0.1493 0.8507 0.7242
H3 H 0.3507 0.3507 0.7758
H4 H 0.3507 0.6493 0.2242
H5 H 0.6493 0.3507 0.2242
H6 H 0.6493 0.6493 0.7758
H7 H 0.8507 0.1493 0.7242
H8 H 0.8507 0.8507 0.2758
Pd1 Pd 0.0000 0.0000 0.5000
Pd2 Pd 0.5000 0.5000 0.0000
```

---

Record 12
First-principles (GGA-PBE) data for V2Cr3H8 after structural relaxation, as listed in the Alexandria database.

Results
* energy: -5.65 eV per atom

```
data_V2Cr3H8
_chemical_formula_sum 'V2 Cr3 H8'
_symmetry_space_group_name_H-M 'P 1'
_symmetry_Int_Tables_number 1
_symmetry_space_group_name_Hall 'P 1'
_cell_length_a 4.9908
_cell_length_b 2.9218
_cell_length_c 6.3382
_cell_angle_alpha 90.00
_cell_angle_beta 107.30
_cell_angle_gamma 90.00
loop_
_atom_site_label
_atom_site_type_symbol
_atom_site_fract_x
_atom_site_fract_y
_atom_site_fract_z
V1 V 0.0785 0.0000 0.2693
V2 V 0.9215 0.0000 0.7307
Cr1 Cr 0.3812 0.5000 0.6681
Cr2 Cr 0.5000 0.0000 0.0000
Cr3 Cr 0.6188 0.5000 0.3319
H1 H 0.1562 0.5000 0.8316
H2 H 0.1640 0.0000 0.0162
H3 H 0.1900 0.0000 0.5768
H4 H 0.2897 0.5000 0.3703
H5 H 0.7103 0.5000 0.6297
H6 H 0.8100 0.0000 0.4232
H7 H 0.8360 0.0000 0.9838
H8 H 0.8438 0.5000 0.1684
```

---

Size of the total moment for the records above, in order: 1.5, 2.0, 0.0, 0.0, 0.0, 0.0, 0.0, 11.0, 5.6, 0.0, 0.0, 0.3 Bohr magnetons per cell